1.
TiNiAgS3: optimized geometry, PBE.

Output
- energy (eV per atom) = -5.5121
- ΔE_f (raw) (meV/atom) = -694

```
data_TiNiAgS3
_cell_length_a 7.9040
_cell_length_b 3.4458
_cell_length_c 8.4237
_cell_angle_alpha 90.00
_cell_angle_beta 107.29
_cell_angle_gamma 90.00
_symmetry_space_group_name_H-M 'P 1 21/m 1'
_symmetry_Int_Tables_number 11
loop_
_symmetry_equiv_pos_as_xyz
'x,y,z'
'-x,-y,-z'
'-x,y+1/2,-z'
'x,-y+1/2,z'
loop_
_atom_site_label
_atom_site_fract_x
_atom_site_fract_y
_atom_site_fract_z
Ti1 0.1973 0.2500 0.1638
Ni1 0.4209 0.7500 0.3885
Ag1 0.1138 0.7500 0.6392
S1 0.0438 0.2500 0.8508
S2 0.2850 0.2500 0.4714
S3 0.3835 0.7500 0.1201
```

2.
Nd2Dy6Al: optimized geometry, PBE.

Output
- energy (eV per atom) = -4.5147

```
data_Nd2Dy6Al
_cell_length_a 3.5145
_cell_length_b 10.1943
_cell_length_c 15.6440
_cell_angle_alpha 90.00
_cell_angle_beta 90.00
_cell_angle_gamma 90.00
_symmetry_space_group_name_H-M 'I m m m'
_symmetry_Int_Tables_number 71
_symmetry_space_group_name_Hall '-I 2 2'
loop_
_atom_site_label
_atom_site_fract_x
_atom_site_fract_y
_atom_site_fract_z
Nd1 0.0000 0.0000 0.1456
Dy1 0.0000 0.2747 0.5000
Dy2 0.0000 0.3416 0.1775
Al1 0.0000 0.5000 0.0000
```